No. 1
Below is a relaxed DyThRuPt crystal, with properties calculated at the GGA-PBE level.

Properties
**ΔE_f**: -0.883 eV/atom
**E above lowest polymorph**: 0 meV/atom

Cell lengths 4.1286, 5.9372, 5.9372 Å; angles 38.22, 90.00, 90.00 degrees
Closest atoms and distances in Å follow each position.
Positions (direct):
Dy (0.0000, 0.0000, 0.0000)  4 Pt 2.90, 1 Ru 2.95
Th (0.5000, 0.2796, 0.2796)  4 Ru 2.88, 3 Pt 3.08-3.19
Ru (0.0000, 0.7367, 0.7367)  4 Th 2.88, 2 Pt 2.91, 1 Dy 2.95
Pt (0.5000, 0.5538, 0.5538)  4 Dy 2.90, 2 Ru 2.91, 3 Th 3.08-3.19

***

No. 2
Below is a relaxed Ti2InGa crystal, with properties calculated at the GGA-PBE level.

Properties
**ΔE_f**: -0.117 eV/atom
**E above lowest polymorph**: 202 meV/atom

Cell lengths 4.6424, 4.6424, 4.6424 Å; angles 60.00, 60.00, 60.00 degrees
Closest atoms and distances in Å follow each position.
Positions (direct):
Ti (0.2500, 0.2500, 0.2500)  4 In 2.84, 4 Ga 2.84
Ti (0.7500, 0.7500, 0.7500)  4 In 2.84, 4 Ga 2.84
In (0.0000, 0.0000, 0.0000)  8 Ti 2.84
Ga (0.5000, 0.5000, 0.5000)  8 Ti 2.84

***

No. 3
Below is a relaxed Sm8MgSc2 crystal, with properties calculated at the GGA-PBE level.

Properties
**ΔE_f**: 0.110 eV/atom
**E above lowest polymorph**: 83 meV/atom

Cell lengths 9.6148, 9.6148, 9.6148 Å; angles 147.02, 133.14, 58.49 degrees
Closest atoms and distances in Å follow each position.
Positions (direct):
Sm (0.1453, 0.3624, 0.7828)  1 Mg 3.16, 2 Sm 3.32-3.51, 2 Sc 3.33
Sm (0.1779, 0.1779, 0.0000)  4 Sc 3.48-3.83, 8 Sm 3.51-3.65
Sm (0.2738, 0.0000, 0.2738)  2 Mg 3.44, 7 Sm 3.46-3.65, 2 Sc 3.68
Sm (0.4204, 0.6376, 0.7828)  1 Mg 3.16, 2 Sm 3.32-3.51, 2 Sc 3.33
Sm (0.5796, 0.3624, 0.2172)  1 Mg 3.16, 2 Sm 3.32-3.51, 2 Sc 3.33
Sm (0.7262, 0.0000, 0.7262)  2 Mg 3.44, 7 Sm 3.46-3.65, 2 Sc 3.68
Sm (0.8221, 0.8221, 0.0000)  4 Sc 3.48-3.83, 8 Sm 3.51-3.65
Sm (0.8547, 0.6376, 0.2172)  1 Mg 3.16, 2 Sm 3.32-3.51, 2 Sc 3.33
Mg (0.0000, 0.5000, 0.5000)  8 Sm 3.16-3.44
Sc (0.3065, 0.8065, 0.5000)  10 Sm 3.33-3.68
Sc (0.6935, 0.1935, 0.5000)  10 Sm 3.33-3.68

***

No. 4
Below is a relaxed TaMnC3 crystal, with properties calculated at the GGA-PBE level.

Properties
**ΔE_f**: 1.820 eV/atom
**E above lowest polymorph**: 240 meV/atom

Cell lengths 4.1610, 4.1610, 4.1610 Å; angles 90.00, 90.00, 90.00 degrees
Closest atoms and distances in Å follow each position.
Positions (direct):
Ta (0.0000, 0.0000, 0.0000)  6 C 2.08
Mn (0.5000, 0.5000, 0.5000)  12 C 2.94
C (0.0000, 0.0000, 0.5000)  2 Ta 2.08
C (0.0000, 0.5000, 0.0000)  2 Ta 2.08
C (0.5000, 0.0000, 0.0000)  2 Ta 2.08

***

No. 5
Below is a relaxed KPdCl2 crystal, with properties calculated at the GGA-PBE level.

Properties
**Formation energy from raw total energies**: -0.639 eV per atom
**E above lowest polymorph**: 223 meV/atom

Cell lengths 5.0283, 5.0283, 5.0283 Å; angles 60.00, 60.00, 60.00 degrees
Closest atoms and distances in Å follow each position.
Positions (direct):
K (0.0000, 0.0000, 0.0000)  8 Cl 3.08
Pd (0.5000, 0.5000, 0.5000)  8 Cl 3.08
Cl (0.2500, 0.2500, 0.2500)  4 Pd 3.08, 4 K 3.08
Cl (0.7500, 0.7500, 0.7500)  4 K 3.08, 4 Pd 3.08

***

No. 6
Below is a relaxed TbCu6 crystal, with properties calculated at the GGA-PBE level.

Properties
**ΔE_f**: -0.162 eV/atom
**E above lowest polymorph**: 0 meV/atom

Cell lengths 7.9795, 5.0639, 10.0232 Å; angles 90.00, 90.00, 90.00 degrees
Closest atoms and distances in Å follow each position.
Positions (direct):
Tb (0.2416, 0.2500, 0.0645)  13 Cu 2.87-3.20
Tb (0.2584, 0.7500, 0.5645)  13 Cu 2.87-3.20
Tb (0.7416, 0.2500, 0.4355)  13 Cu 2.87-3.20
Tb (0.7584, 0.7500, 0.9355)  13 Cu 2.87-3.20
Cu (0.0649, 0.7500, 0.0932)  5 Cu 2.47-2.60
Cu (0.0655, 0.0069, 0.3087)  9 Cu 2.45-2.66
Cu (0.0655, 0.4931, 0.3087)  9 Cu 2.45-2.66
Cu (0.1005, 0.2500, 0.5178)  6 Cu 2.45-2.60
Cu (0.1463, 0.7500, 0.8549)  8 Cu 2.47-2.73
Cu (0.1825, 0.2500, 0.7573)  9 Cu 2.45-2.73
Cu (0.3175, 0.7500, 0.2573)  9 Cu 2.45-2.73
Cu (0.3537, 0.2500, 0.3549)  8 Cu 2.47-2.73
Cu (0.3995, 0.7500, 0.0178)  6 Cu 2.45-2.60
Cu (0.4345, 0.5069, 0.8087)  9 Cu 2.45-2.66
Cu (0.4345, 0.9931, 0.8087)  9 Cu 2.45-2.66
Cu (0.4351, 0.2500, 0.5932)  5 Cu 2.47-2.60
Cu (0.5649, 0.7500, 0.4068)  5 Cu 2.47-2.60
Cu (0.5655, 0.0069, 0.1913)  9 Cu 2.45-2.66
Cu (0.5655, 0.4931, 0.1913)  9 Cu 2.45-2.66
Cu (0.6005, 0.2500, 0.9822)  6 Cu 2.45-2.60
Cu (0.6463, 0.7500, 0.6451)  8 Cu 2.47-2.73
Cu (0.6825, 0.2500, 0.7427)  9 Cu 2.45-2.73
Cu (0.8175, 0.7500, 0.2427)  9 Cu 2.45-2.73
Cu (0.8537, 0.2500, 0.1451)  8 Cu 2.47-2.73
Cu (0.8995, 0.7500, 0.4822)  6 Cu 2.45-2.60
Cu (0.9345, 0.5069, 0.6913)  9 Cu 2.45-2.66
Cu (0.9345, 0.9931, 0.6913)  9 Cu 2.45-2.66
Cu (0.9351, 0.2500, 0.9068)  5 Cu 2.47-2.60

***

No. 7
Below is a relaxed Zn5Au6 crystal, with properties calculated at the GGA-PBE level.

Properties
**ΔE_f**: -0.154 eV/atom
**E above lowest polymorph**: 27 meV/atom

Cell lengths 6.7757, 6.7757, 4.8272 Å; angles 105.14, 105.14, 108.65 degrees
Closest atoms and distances in Å follow each position.
Positions (direct):
Zn (0.0000, 0.0000, 0.0000)  6 Au 2.70-2.73, 4 Zn 2.87
Zn (0.1418, 0.8582, 0.5000)  6 Au 2.71-2.74, 4 Zn 2.87-2.91
Zn (0.2895, 0.7105, 0.0000)  8 Au 2.72-2.91, 2 Zn 2.91
Zn (0.7105, 0.2895, 0.0000)  8 Au 2.72-2.91, 2 Zn 2.91
Zn (0.8582, 0.1418, 0.5000)  6 Au 2.71-2.74, 4 Zn 2.87-2.91
Au (0.1523, 0.4433, 0.3549)  6 Zn 2.72-2.91, 4 Au 2.86-2.96
Au (0.2962, 0.2962, 0.8635)  5 Zn 2.70-2.73, 5 Au 2.86-2.94
Au (0.4433, 0.1523, 0.3549)  6 Zn 2.72-2.91, 4 Au 2.86-2.96
Au (0.5567, 0.8477, 0.6451)  6 Zn 2.72-2.91, 4 Au 2.86-2.96
Au (0.7038, 0.7038, 0.1365)  5 Zn 2.70-2.73, 5 Au 2.86-2.94
Au (0.8477, 0.5567, 0.6451)  6 Zn 2.72-2.91, 4 Au 2.86-2.96

***

No. 8
Below is a relaxed InGa3Pt crystal, with properties calculated at the GGA-PBE level.

Properties
**ΔE_f**: -0.313 eV/atom
**E above lowest polymorph**: 0 meV/atom

Cell lengths 6.4627, 3.8921, 8.0373 Å; angles 90.00, 110.11, 90.00 degrees
Closest atoms and distances in Å follow each position.
Positions (direct):
In (0.1554, 0.2500, 0.1551)  2 Pt 2.88, 3 Ga 3.03-3.17
In (0.8446, 0.7500, 0.8449)  2 Pt 2.88, 3 Ga 3.03-3.17
Ga (0.0757, 0.2500, 0.6512)  1 Pt 2.55, 1 Ga 2.60
Ga (0.3328, 0.7500, 0.9033)  3 Pt 2.64-2.71, 4 Ga 2.89-2.93
Ga (0.3484, 0.7500, 0.5148)  3 Ga 2.60-2.83, 3 Pt 2.63-2.64
Ga (0.6516, 0.2500, 0.4852)  3 Ga 2.60-2.83, 3 Pt 2.63-2.64
Ga (0.6672, 0.2500, 0.0967)  3 Pt 2.64-2.71, 4 Ga 2.89-2.93
Ga (0.9243, 0.7500, 0.3488)  1 Pt 2.55, 1 Ga 2.60
Pt (0.4951, 0.2500, 0.7472)  7 Ga 2.55-2.71
Pt (0.5049, 0.7500, 0.2528)  7 Ga 2.55-2.71

***

No. 9
Below is a relaxed CrInSe2N crystal, with properties calculated at the GGA-PBE level.

Properties
**Formation energy from raw total energies**: 0.016 eV per atom
**E above lowest polymorph**: 0 meV/atom

Cell lengths 5.1261, 5.1261, 3.5747 Å; angles 90.00, 90.00, 90.00 degrees
Closest atoms and distances in Å follow each position.
Positions (direct):
Cr (0.0000, 0.0000, 0.0000)  2 N 1.79
In (0.5000, 0.5000, 0.5000)  8 Se 3.12
Se (0.0000, 0.5000, 0.0000)  2 Cr 2.56
Se (0.5000, 0.0000, 0.0000)  2 Cr 2.56
N (0.0000, 0.0000, 0.5000)  2 Cr 1.79

***

No. 10
Below is a relaxed Zn2Si2Pd crystal, with properties calculated at the GGA-PBE level.

Properties
**Formation energy from raw total energies**: -0.038 eV per atom

Cell lengths 6.3061, 6.3061, 3.9532 Å; angles 90.00, 90.00, 90.00 degrees
Closest atoms and distances in Å follow each position.
Positions (direct):
Zn (0.1801, 0.3199, 0.0000)  6 Si 2.58-2.81
Zn (0.3199, 0.8199, 0.0000)  6 Si 2.58-2.81
Zn (0.6801, 0.1801, 0.0000)  6 Si 2.58-2.81
Zn (0.8199, 0.6801, 0.0000)  6 Si 2.58-2.81
Si (0.1337, 0.6337, 0.5000)  1 Si 2.38, 2 Pd 2.46, 2 Zn 2.58
Si (0.3663, 0.1337, 0.5000)  1 Si 2.38, 2 Pd 2.46, 2 Zn 2.58
Si (0.6337, 0.8663, 0.5000)  1 Si 2.38, 2 Pd 2.46, 2 Zn 2.58
Si (0.8663, 0.3663, 0.5000)  1 Si 2.38, 2 Pd 2.46, 2 Zn 2.58
Pd (0.0000, 0.0000, 0.5000)  4 Si 2.46
Pd (0.5000, 0.5000, 0.5000)  4 Si 2.46

***

Number 1: total moment 0.00 Bohr magnetons per cell. Number 2: total moment 0.00 Bohr magnetons per cell. Number 3: total moment 0.00 Bohr magnetons per cell. Number 4: total moment 4.44 Bohr magnetons per cell. Number 5: total moment 1.00 Bohr magnetons per cell. Number 6: total moment 0.00 Bohr magnetons per cell. Number 7: total moment 0.00 Bohr magnetons per cell. Number 8: total moment 0.00 Bohr magnetons per cell. Number 9: total moment 0.00 Bohr magnetons per cell. Number 10: total moment 0.00 Bohr magnetons per cell.